Here is a geometry-optimized NaTlVSe4 structure from Alexandria via LeMat-Bulk. Energies are from PBE.

Geometry as POSCAR:
```
NaTlVSe4
1.0
7.128 0.000 0.000
0.000 5.985 0.000
-2.745 0.000 9.502
Na Tl V Se
2 2 2 8
Direct
0.233 0.250 0.045 Na
0.767 0.750 0.955 Na
0.279 0.250 0.559 Tl
0.721 0.750 0.441 Tl
0.227 0.750 0.815 V
0.773 0.250 0.185 V
0.017 0.518 0.259 Se
0.017 0.982 0.259 Se
0.368 0.750 0.049 Se
0.442 0.750 0.681 Se
0.558 0.250 0.319 Se
0.632 0.250 0.951 Se
0.983 0.018 0.741 Se
0.983 0.482 0.741 Se
```

Properties
formation energy from raw total energies: -0.57 eV per atom
magnetic moment: 0.00 μB per cell
DFT total energy: -4.39 eV/atom